1.
# YBeRe2, optimized geometry, DFT GGA-PBEsol
# E_form (eV/atom): 0.38
# Total moment (μB/atom): 0.00
data_YBeRe2
_chemical_formula_sum 'Y1 Be1 Re2'
_space_group_name_H-M_alt 'P 1 2/m 1'
_space_group_IT_number 10
_space_group_name_Hall '-P 2y'
_cell_length_a 3.2012
_cell_length_b 4.4457
_cell_length_c 4.6320
_cell_angle_alpha 90.00
_cell_angle_beta 98.83
_cell_angle_gamma 90.00
loop_
_atom_site_label
_atom_site_fract_x
_atom_site_fract_y
_atom_site_fract_z
Y1 0.0000 0.0000 0.0000
Be1 0.5000 0.0000 0.5000
Re1 0.3292 0.5000 0.7190



2.
# K2TeMo, optimized geometry, DFT GGA-PBEsol
# Raw formation energy (eV/atom): 0.7555
# Total moment (μB/atom): 1.23
data_K2TeMo
_chemical_formula_sum 'K8 Te4 Mo4'
_space_group_name_H-M_alt 'F -4 3 m'
_space_group_IT_number 216
_space_group_name_Hall 'F -4 2 3'
_cell_length_a 7.8210
_cell_length_b 7.8210
_cell_length_c 7.8210
_cell_angle_alpha 90.00
_cell_angle_beta 90.00
_cell_angle_gamma 90.00
loop_
_atom_site_label
_atom_site_fract_x
_atom_site_fract_y
_atom_site_fract_z
K1 0.0000 0.0000 0.0000
K2 0.2500 0.2500 0.2500
Te1 0.0000 0.0000 0.5000
Mo1 0.2500 0.2500 0.7500



3.
# K2Bi2Au, optimized geometry, DFT GGA-PBEsol
# E_form (eV/atom): 0.41
# Total moment (μB/atom): 0.00
data_K2Bi2Au
_chemical_formula_sum 'K4 Bi4 Au2'
_space_group_name_H-M_alt 'I 4/m m m'
_space_group_IT_number 139
_space_group_name_Hall '-I 4 2'
_cell_length_a 4.4452
_cell_length_b 4.4452
_cell_length_c 15.9828
_cell_angle_alpha 90.00
_cell_angle_beta 90.00
_cell_angle_gamma 90.00
loop_
_atom_site_label
_atom_site_fract_x
_atom_site_fract_y
_atom_site_fract_z
K1 0.0000 0.5000 0.2500
Bi1 0.0000 0.0000 0.0865
Au1 0.0000 0.0000 0.5000



4.
# ZrCr2Se, optimized geometry, DFT GGA-PBEsol
# Raw formation energy (eV/atom): -0.0791
# Total moment (μB/atom): 0.29
data_ZrCr2Se
_chemical_formula_sum 'Zr1 Cr2 Se1'
_space_group_name_H-M_alt 'P 4 m m'
_space_group_IT_number 99
_space_group_name_Hall 'P 4 -2'
_cell_length_a 3.1475
_cell_length_b 3.1475
_cell_length_c 6.2455
_cell_angle_alpha 90.00
_cell_angle_beta 90.00
_cell_angle_gamma 90.00
loop_
_atom_site_label
_atom_site_fract_x
_atom_site_fract_y
_atom_site_fract_z
Zr1 0.0000 0.0000 0.0000
Cr1 0.0000 0.0000 0.4792
Cr2 0.5000 0.5000 0.3083
Se1 0.5000 0.5000 0.7288



5.
# SrTl2Cd, optimized geometry, DFT GGA-PBEsol
# E_form (eV/atom): -0.24
# Total moment (μB/atom): 0.00
data_SrTl2Cd
_chemical_formula_sum 'Sr4 Tl8 Cd4'
_space_group_name_H-M_alt 'F -4 3 m'
_space_group_IT_number 216
_space_group_name_Hall 'F -4 2 3'
_cell_length_a 7.6082
_cell_length_b 7.6082
_cell_length_c 7.6082
_cell_angle_alpha 90.00
_cell_angle_beta 90.00
_cell_angle_gamma 90.00
loop_
_atom_site_label
_atom_site_fract_x
_atom_site_fract_y
_atom_site_fract_z
Sr1 0.0000 0.0000 0.0000
Tl1 0.0000 0.0000 0.5000
Tl2 0.2500 0.2500 0.2500
Cd1 0.2500 0.2500 0.7500



6.
# CdPtO2F, optimized geometry, DFT GGA-PBEsol
# Raw formation energy (eV/atom): 0.4293
# Total moment (μB/atom): 0.46
data_CdPtO2F
_chemical_formula_sum 'Cd1 Pt1 O2 F1'
_space_group_name_H-M_alt 'P 4/m m m'
_space_group_IT_number 123
_space_group_name_Hall '-P 4 2'
_cell_length_a 4.1519
_cell_length_b 4.1519
_cell_length_c 4.0998
_cell_angle_alpha 90.00
_cell_angle_beta 90.00
_cell_angle_gamma 90.00
loop_
_atom_site_label
_atom_site_fract_x
_atom_site_fract_y
_atom_site_fract_z
Cd1 0.0000 0.0000 0.0000
Pt1 0.5000 0.5000 0.5000
O1 0.0000 0.5000 0.0000
F1 0.0000 0.0000 0.5000



7.
# HRu2PtW, optimized geometry, DFT GGA-PBEsol
# Total moment (μB/atom): 0.40
# Total energy (eV per atom): -6.646
data_HRu2PtW
_chemical_formula_sum 'H1 Ru2 Pt1 W1'
_space_group_name_H-M_alt 'P 4/m m m'
_space_group_IT_number 123
_space_group_name_Hall '-P 4 2'
_cell_length_a 4.6161
_cell_length_b 4.6161
_cell_length_c 4.7988
_cell_angle_alpha 90.00
_cell_angle_beta 90.00
_cell_angle_gamma 90.00
loop_
_atom_site_label
_atom_site_fract_x
_atom_site_fract_y
_atom_site_fract_z
H1 0.0000 0.0000 0.0000
Ru1 0.0000 0.5000 0.5000
Pt1 0.5000 0.5000 0.0000
W1 0.5000 0.5000 0.5000



8.
# Ba3Li2V2Cl4O7, optimized geometry, DFT GGA-PBEsol
# Raw formation energy (eV/atom): -2.5643
# Total moment (μB/atom): 0.00
data_Ba3Li2V2Cl4O7
_chemical_formula_sum 'Ba12 Li8 V8 Cl16 O28'
_space_group_name_H-M_alt 'C 1 2/m 1'
_space_group_IT_number 12
_space_group_name_Hall '-C 2y'
_cell_length_a 16.0624
_cell_length_b 5.7318
_cell_length_c 14.2902
_cell_angle_alpha 90.00
_cell_angle_beta 90.50
_cell_angle_gamma 90.00
loop_
_atom_site_label
_atom_site_fract_x
_atom_site_fract_y
_atom_site_fract_z
Ba1 0.0000 0.0000 0.0000
Ba2 0.0000 0.0000 0.5000
Ba3 0.1347 0.5000 0.2806
Ba4 0.1365 0.5000 0.7259
Li1 0.1975 0.0000 0.8829
Li2 0.2500 0.2500 0.5000
V1 0.0039 0.0000 0.7473
V2 0.1886 0.0000 0.1279
Cl1 0.0026 0.5000 0.1157
Cl2 0.1172 0.5000 0.5016
Cl3 0.1843 0.0000 0.3793
Cl4 0.1879 0.0000 0.6210
O1 0.0027 0.2348 0.6758
O2 0.0872 0.0000 0.1798
O3 0.0885 0.0000 0.8175
O4 0.1698 0.0000 0.0126
O5 0.2417 0.2373 0.1665



9.
# KCa2Ta, optimized geometry, DFT GGA-PBEsol
# Polymorph energy (0 for the lowest one) (eV per atom): 0.285
# E_form (eV/atom): 0.98
# Total moment (μB/atom): 0.37
data_KCa2Ta
_chemical_formula_sum 'K2 Ca4 Ta2'
_space_group_name_H-M_alt 'C 1 m 1'
_space_group_IT_number 8
_space_group_name_Hall 'C -2y'
_cell_length_a 12.0996
_cell_length_b 3.2038
_cell_length_c 6.4256
_cell_angle_alpha 90.00
_cell_angle_beta 97.28
_cell_angle_gamma 90.00
loop_
_atom_site_label
_atom_site_fract_x
_atom_site_fract_y
_atom_site_fract_z
K1 0.0000 0.0000 0.0000
Ca1 0.0280 0.5000 0.5376
Ca2 0.2606 0.5000 0.2427
Ta1 0.2566 0.0000 0.6889



10.
# ZrCd2Hg, optimized geometry, DFT GGA-PBEsol
# E_form (eV/atom): -0.05
# Total moment (μB/atom): 0.00
data_ZrCd2Hg
_chemical_formula_sum 'Zr1 Cd2 Hg1'
_space_group_name_H-M_alt 'P m m m'
_space_group_IT_number 47
_space_group_name_Hall '-P 2 2'
_cell_length_a 3.0356
_cell_length_b 4.3601
_cell_length_c 6.2573
_cell_angle_alpha 90.00
_cell_angle_beta 90.00
_cell_angle_gamma 90.00
loop_
_atom_site_label
_atom_site_fract_x
_atom_site_fract_y
_atom_site_fract_z
Zr1 0.0000 0.0000 0.0000
Cd1 0.5000 0.5000 0.2469
Hg1 0.0000 0.0000 0.5000



11.
# CaHgSb2I, optimized geometry, DFT GGA-PBEsol
# Raw formation energy (eV/atom): 0.3088
# Total moment (μB/atom): 0.14
data_CaHgSb2I
_chemical_formula_sum 'Ca1 Hg1 Sb2 I1'
_space_group_name_H-M_alt 'P 4/m m m'
_space_group_IT_number 123
_space_group_name_Hall '-P 4 2'
_cell_length_a 5.7963
_cell_length_b 5.7963
_cell_length_c 5.7728
_cell_angle_alpha 90.00
_cell_angle_beta 90.00
_cell_angle_gamma 90.00
loop_
_atom_site_label
_atom_site_fract_x
_atom_site_fract_y
_atom_site_fract_z
Ca1 0.0000 0.0000 0.0000
Hg1 0.5000 0.5000 0.5000
Sb1 0.0000 0.5000 0.0000
I1 0.0000 0.0000 0.5000



12.
# SrSb2, optimized geometry, DFT GGA-PBEsol
# Raw formation energy (eV/atom): -0.5191
# Total moment (μB/atom): 0.00
data_SrSb2
_chemical_formula_sum 'Sr4 Sb8'
_space_group_name_H-M_alt 'C 1 2/m 1'
_space_group_IT_number 12
_space_group_name_Hall '-C 2y'
_cell_length_a 11.6009
_cell_length_b 4.0388
_cell_length_c 8.0045
_cell_angle_alpha 90.00
_cell_angle_beta 92.79
_cell_angle_gamma 90.00
loop_
_atom_site_label
_atom_site_fract_x
_atom_site_fract_y
_atom_site_fract_z
Sr1 0.0498 0.0000 0.2721
Sb1 0.1502 0.5000 0.9694
Sb2 0.1796 0.5000 0.6037



13.
# K2TiTe3O12, optimized geometry, DFT GGA-PBEsol
# Raw formation energy (eV/atom): -1.5621
# Total moment (μB/atom): 0.00
data_K2TiTe3O12
_chemical_formula_sum 'K4 Ti2 Te6 O24'
_space_group_name_H-M_alt 'C 1 2 1'
_space_group_IT_number 5
_space_group_name_Hall 'C 2y'
_cell_length_a 12.3458
_cell_length_b 7.1868
_cell_length_c 7.1430
_cell_angle_alpha 90.00
_cell_angle_beta 124.85
_cell_angle_gamma 90.00
loop_
_atom_site_label
_atom_site_fract_x
_atom_site_fract_y
_atom_site_fract_z
K1 0.1358 0.0000 0.3645
Ti1 0.0000 0.5095 0.0000
Te1 0.0000 0.5102 0.5000
Te2 0.2501 0.2603 0.9999
O1 0.0667 0.5111 0.3198
O2 0.1263 0.7039 0.0667
O3 0.1268 0.3174 0.0668
O4 0.1283 0.3117 0.6730
O5 0.1277 0.7096 0.6731
O6 0.1730 0.0104 0.9291



14.
# Hf2GePbS, optimized geometry, DFT GGA-PBEsol
# Raw formation energy (eV/atom): 0.1832
# Total moment (μB/atom): 0.00
data_Hf2GePbS
_chemical_formula_sum 'Hf2 Ge1 Pb1 S1'
_space_group_name_H-M_alt 'P 4/m m m'
_space_group_IT_number 123
_space_group_name_Hall '-P 4 2'
_cell_length_a 4.7133
_cell_length_b 4.7133
_cell_length_c 5.3921
_cell_angle_alpha 90.00
_cell_angle_beta 90.00
_cell_angle_gamma 90.00
loop_
_atom_site_label
_atom_site_fract_x
_atom_site_fract_y
_atom_site_fract_z
Hf1 0.0000 0.5000 0.0000
Ge1 0.0000 0.0000 0.5000
Pb1 0.5000 0.5000 0.5000
S1 0.5000 0.5000 0.0000